VASP calculation (PBE) on a geometry-optimized Ac2InO4F structure.

a b c (Å): 10.808 3.616 7.039
angles (deg): 90.00 113.59 90.00
Space group C2/m (No. 12)
Asymmetric unit:
Ac  0.187  0.000  0.203 (multiplicity 4)
In  0.000  0.000  0.500 (multiplicity 2)
O  0.120  0.500  0.438 (multiplicity 4)
O  0.160  0.000  0.812 (multiplicity 4)
F  0.000  0.500  0.000 (multiplicity 2)

Computed properties:
The calculation puts the total moment at 0.000 μB/atom. The formation energy without anion corrections is -2.839 eV/atom.